[1]
VASP calculation (GGA-PBE) on a geometry-optimized LaTbPm2Pr structure.

Lattice parameters (Å, degrees): 6.689 8.572 6.346 97.36 90.00 90.00
Element x y z (fractional)
1 La 0.000 0.000 0.000
2 La 0.000 0.000 0.500
3 Tb 0.565 0.000 0.250
4 Tb 0.435 0.000 0.750
5 Pm 0.682 0.691 0.795
6 Pm 0.682 0.309 0.705
7 Pm 0.318 0.691 0.295
8 Pm 0.318 0.309 0.205
9 Pr 0.162 0.500 0.750
10 Pr 0.838 0.500 0.250

D(E_F): 7.49 states/eV/f.u.
Calculated formation energy: 0.257 eV/atom



[2]
VASP calculation (GGA-PBE) on a geometry-optimized La5Tb2PmPr structure.

Lattice parameters (Å, degrees): 10.050 8.116 8.116 90.00 90.00 90.00
Element x y z (fractional)
1 La 0.500 0.500 0.500
2 La 0.500 0.000 0.000
3 La 0.239 0.201 0.701
4 La 0.239 0.799 0.299
5 La 0.239 0.299 0.201
6 La 0.239 0.701 0.799
7 La 0.761 0.201 0.701
8 La 0.761 0.701 0.799
9 La 0.761 0.799 0.299
10 La 0.761 0.299 0.201
11 Tb 0.500 0.629 0.129
12 Tb 0.500 0.129 0.371
13 Tb 0.500 0.871 0.629
14 Tb 0.500 0.371 0.871
15 Pm 0.000 0.000 0.500
16 Pm 0.000 0.500 0.000
17 Pr 0.000 0.500 0.500
18 Pr 0.000 0.000 0.000

D(E_F): 14.81 states/eV/f.u.
Calculated formation energy: 0.256 eV/atom



[3]
VASP calculation (GGA-PBE) on a geometry-optimized LaTbPm2Pr2 structure.

Lattice parameters (Å, degrees): 5.824 7.166 10.058 90.00 90.00 90.00
Element x y z (fractional)
1 La 0.000 0.008 0.500
2 La 0.000 0.508 0.500
3 Tb 0.500 0.258 0.665
4 Tb 0.500 0.758 0.335
5 Pm 0.000 0.257 0.834
6 Pm 0.500 0.258 0.332
7 Pm 0.000 0.757 0.166
8 Pm 0.500 0.758 0.668
9 Pr 0.500 0.007 0.000
10 Pr 0.000 0.258 0.169
11 Pr 0.500 0.507 0.000
12 Pr 0.000 0.758 0.831

D(E_F): 8.80 states/eV/f.u.
Calculated formation energy: 0.051 eV/atom